A plane-wave DFT calculation with PBE was carried out for crystalline KBa2NpO6 at its relaxed geometry.

The space group is C2/m (12). The calculation puts the mass density at 5.8 Mg/m³. The formation energy from raw total energies is -2.6717 eV per atom.

abc: 6.448 6.276 6.326
angles: 119.74 118.64 90.00
Positions (direct):
Ba: 0.772 0.752 0.504
O: 0.857 0.792 0.136
O: 0.857 0.343 0.136
O: 0.143 0.657 0.864
O: 0.143 0.208 0.864
O: 0.684 0.297 0.595
K: 0.500 0.000 0.000
O: 0.316 0.703 0.405
Ba: 0.228 0.248 0.496
Np: 0.000 0.500 0.000

=====

A plane-wave DFT calculation with PBE was carried out for crystalline IrRu at its relaxed geometry.

The space group is Fd-3m (227). The value obtained for the offset from the most stable computed form is 0.627 eV/atom. The value obtained for the formation energy is 572 meV per atom. The calculation puts the mass density at 16.5 Mg/m³.

abc: 4.373 4.373 4.373
angles: 60.00 60.00 60.00
Each line ends with the local moment (μB).
Positions (direct):
Ir: 0.250 0.250 0.250  0.09
Ru: 0.500 0.500 0.500  0.82
Ir: 0.000 0.000 0.000  0.09
Ru: 0.750 0.750 0.750  0.82

=====

A plane-wave DFT calculation with PBE was carried out for crystalline LiAg2 at its relaxed geometry.

The space group is I4/mcm (140). The value obtained for the offset from the most stable computed form is 0.120 eV/atom. The value obtained for the formation energy is -40 meV per atom. The calculation puts the mass density at 7.6 Mg/m³.

abc: 5.076 5.076 5.076
angles: 103.67 103.67 121.83
Positions (direct):
Li: 0.750 0.750 0.000
Li: 0.250 0.250 0.000
Ag: 0.157 0.657 0.813
Ag: 0.843 0.343 0.187
Ag: 0.343 0.157 0.500
Ag: 0.657 0.843 0.500

=====

A plane-wave DFT calculation with PBE was carried out for crystalline CaPbAu10 at its relaxed geometry.

The space group is Pmmm (47). The value obtained for the formation energy is -205 meV per atom. The calculation puts the mass density at 14.3 Mg/m³.

abc: 4.658 5.657 9.777
angles: 90.00 90.00 90.00
Positions (direct):
Au: 0.500 0.752 0.753
Au: 0.500 0.248 0.753
Au: 0.500 0.248 0.247
Au: 0.500 0.000 0.500
Au: 0.000 0.000 0.333
Au: 0.000 0.500 0.164
Pb: 0.000 0.500 0.500
Au: 0.500 0.500 0.000
Au: 0.000 0.500 0.836
Au: 0.500 0.752 0.247
Ca: 0.000 0.000 0.000
Au: 0.000 0.000 0.667

=====

The lowest mass density belongs to which entry?
KBa2NpO6

=====

Look up the mass density of the fourth one.
14.3 Mg/m³